This record from Alexandria describes an optimized crystal structure of LiHOsPb2. The functional is PBE.

Properties
D(E_F)	4.2	states/eV/f.u.
final energy	-17.0	eV/cell

abc: 4.9668 4.2437 4.9668
angles: 90.00 90.00 90.00
Fractional coordinates of all 5 atoms:
Pb 0.0000 0.0000 0.5000
Pb 0.5000 0.0000 0.0000
H 0.5000 0.5000 0.5000
Os 0.0000 0.5000 0.0000
Li 0.0000 0.0000 0.0000